This record from Alexandria via LeMat-Bulk describes a relaxed K2NiAs crystal. The functional is GGA-PBE.

Unit cell a=6.1218 b=6.1218 c=6.1218 alpha=138.27 beta=122.82 gamma=73.24
Sites, in units of the cell vectors:
Ni1 0.3795 0.3795 0.0000
K1 0.0401 0.0401 0.0000
K2 0.7203 0.2203 0.5000
As1 0.3600 0.8600 0.5000

Values from the calculation:
Its formation energy is -0.21 eV/atom. The calculation puts the density of states at the Fermi level at 1.4 states/eV per cell. The space-group type is No. 44. Its crystal system is orthorhombic. As for the total magnetic moment: 0.00 Bohr magnetons per cell. The total energy is -13.47 eV per cell.